DyThMg4: relaxed, PBE.

POSCAR file:
```
DyThMg4
1.0
-2.532 -4.814 2.619
-3.099 -3.968 -3.332
2.251 -5.512 -0.999
Mg Th Dy
4 1 1
direct
0.625 0.625 0.126 Mg
0.625 0.126 0.625 Mg
0.625 0.625 0.625 Mg
0.126 0.625 0.625 Mg
0.000 0.000 0.000 Th
0.250 0.250 0.250 Dy
```

Values from the calculation:
Magnetic moment in μB per formula unit: 0.0
ΔE_f in meV/atom: -17
Raw total energy in eV/cell: -18.5
Space-group type: F-43m, No. 216
D(E_F) in states/eV/cell: 7.1



Dy2Th3Mg2: relaxed, PBE.

POSCAR file:
```
Dy2Th3Mg2
1.0
-2.255 0.282 2.703
2.576 -0.876 2.241
5.248 16.358 0.364
Dy Th Mg
2 3 2
direct
0.294 0.500 0.587 Dy
0.706 0.500 0.413 Dy
0.426 0.500 0.851 Th
0.574 0.500 0.149 Th
0.000 0.000 0.000 Th
0.143 0.000 0.285 Mg
0.857 0.000 0.715 Mg
```

Values from the calculation:
Magnetic moment in μB per formula unit: 0.8
ΔE_f in meV/atom: 104
Raw total energy in eV/cell: -33.9
Space-group type: Cmmm, No. 65
D(E_F) in states/eV/cell: 7.9



Dy3Th2Mg: relaxed, PBE.

POSCAR file:
```
Dy3Th2Mg
1.0
3.578 0.000 0.000
0.000 3.578 0.000
0.000 0.000 14.287
Dy Th Mg
3 2 1
direct
0.000 0.000 0.000 Dy
0.000 0.000 0.655 Dy
0.000 0.000 0.345 Dy
0.500 0.500 0.824 Th
0.500 0.500 0.176 Th
0.500 0.500 0.500 Mg
```

Values from the calculation:
Magnetic moment in μB per formula unit: 0.0
ΔE_f in meV/atom: -17
Raw total energy in eV/cell: -30.3
Space-group type: P4/mmm, No. 123
D(E_F) in states/eV/cell: 5.2



Dy12Th5Mg: relaxed, PBE.

POSCAR file:
```
Dy12Th5Mg
1.0
-3.832 -12.847 -6.903
5.340 -7.894 -4.736
0.280 -2.428 4.361
Dy Th Mg
12 5 1
direct
0.834 0.000 0.500 Dy
0.166 0.000 0.500 Dy
0.661 0.000 0.000 Dy
0.339 0.000 0.000 Dy
0.327 0.673 0.000 Dy
0.001 0.673 0.000 Dy
0.999 0.327 0.000 Dy
0.673 0.327 0.000 Dy
0.496 0.336 0.500 Dy
0.831 0.664 0.500 Dy
0.169 0.336 0.500 Dy
0.504 0.664 0.500 Dy
0.500 0.000 0.500 Th
0.167 0.666 0.500 Th
0.833 0.334 0.500 Th
0.669 0.663 0.000 Th
0.331 0.337 0.000 Th
0.000 0.000 0.000 Mg
```

Values from the calculation:
Magnetic moment in μB per formula unit: 0.0
ΔE_f in meV/atom: 37
Raw total energy in eV/cell: -93.3
Space-group type: Cmmm, No. 65
D(E_F) in states/eV/cell: 25.9



Dy5Th4Mg: relaxed, PBE.

POSCAR file:
```
Dy5Th4Mg
1.0
3.576 0.000 0.000
0.000 3.576 0.000
0.000 0.000 24.278
Dy Th Mg
5 4 1
direct
0.500 0.500 0.091 Dy
0.500 0.500 0.293 Dy
0.500 0.500 0.500 Dy
0.500 0.500 0.707 Dy
0.500 0.500 0.909 Dy
0.000 0.000 0.190 Th
0.000 0.000 0.397 Th
0.000 0.000 0.603 Th
0.000 0.000 0.810 Th
0.000 0.000 0.000 Mg
```

Values from the calculation:
Magnetic moment in μB per formula unit: 0.0
ΔE_f in meV/atom: 14
Raw total energy in eV/cell: -54.1
Space-group type: P4/mmm, No. 123
D(E_F) in states/eV/cell: 11.6



DyThMg14: relaxed, PBE.

POSCAR file:
```
DyThMg14
1.0
6.912 -0.015 0.000
0.014 6.912 0.000
0.000 0.000 8.142
Dy Th Mg
1 1 14
direct
0.875 0.875 0.500 Dy
0.375 0.375 0.500 Th
0.875 0.875 0.000 Mg
0.375 0.375 0.000 Mg
0.875 0.375 0.500 Mg
0.875 0.375 0.000 Mg
0.375 0.875 0.500 Mg
0.375 0.875 0.000 Mg
0.627 0.123 0.237 Mg
0.627 0.123 0.763 Mg
0.123 0.627 0.237 Mg
0.123 0.627 0.763 Mg
0.627 0.627 0.237 Mg
0.627 0.627 0.763 Mg
0.123 0.123 0.237 Mg
0.123 0.123 0.763 Mg
```

Values from the calculation:
Magnetic moment in μB per formula unit: 0.0
ΔE_f in meV/atom: 7
Raw total energy in eV/cell: -34.2
Space-group type: P4/mmm, No. 123
D(E_F) in states/eV/cell: 9.6



DyThMgTi: relaxed, PBE.

POSCAR file:
```
DyThMgTi
1.0
5.285 0.000 0.000
2.643 4.577 0.000
2.643 1.526 4.315
Mg Ti Th Dy
1 1 1 1
direct
0.750 0.750 0.750 Mg
0.250 0.250 0.250 Ti
0.500 0.500 0.500 Th
0.000 0.000 0.000 Dy
```

Values from the calculation:
Magnetic moment in μB per formula unit: 1.9
ΔE_f in meV/atom: 150
Raw total energy in eV/cell: -20.9
Space-group type: F-43m, No. 216
D(E_F) in states/eV/cell: 5.2



DyThMgTl: relaxed, PBE.

POSCAR file:
```
DyThMgTl
1.0
-0.600 5.348 -0.614
-4.940 2.107 -0.705
-2.277 2.939 3.939
Tl Mg Th Dy
1 1 1 1
direct
0.000 0.000 0.000 Tl
0.500 0.500 0.500 Mg
0.750 0.750 0.750 Th
0.250 0.250 0.250 Dy
```

Values from the calculation:
Magnetic moment in μB per formula unit: 0.0
ΔE_f in meV/atom: -95
Raw total energy in eV/cell: -16.4
Space-group type: F-43m, No. 216
D(E_F) in states/eV/cell: 3.4



Dy2Y2ThMg5: relaxed, PBE.

POSCAR file:
```
Dy2Y2ThMg5
1.0
5.169 0.000 0.000
0.000 10.552 0.000
0.000 0.000 10.552
Dy Y Th Mg
4 4 2 10
direct
0.000 0.120 0.620 Dy
0.000 0.880 0.380 Dy
0.000 0.620 0.880 Dy
0.000 0.380 0.120 Dy
0.000 0.678 0.178 Y
0.000 0.322 0.822 Y
0.000 0.178 0.322 Y
0.000 0.822 0.678 Y
0.000 0.000 0.000 Th
0.000 0.500 0.500 Th
0.500 0.197 0.075 Mg
0.500 0.803 0.925 Mg
0.500 0.075 0.803 Mg
0.500 0.697 0.425 Mg
0.500 0.925 0.197 Mg
0.500 0.303 0.575 Mg
0.500 0.575 0.697 Mg
0.500 0.425 0.303 Mg
0.500 0.500 0.000 Mg
0.500 0.000 0.500 Mg
```

Values from the calculation:
Magnetic moment in μB per formula unit: 0.0
ΔE_f in meV/atom: 124
Raw total energy in eV/cell: -72.6
Space-group type: P4/mbm, No. 127
D(E_F) in states/eV/cell: 16.9



DyYThMg: relaxed, PBE.

POSCAR file:
```
DyYThMg
1.0
3.597 0.000 0.000
0.000 3.597 0.000
0.000 0.000 9.187
Dy Y Th Mg
1 1 1 1
direct
0.000 0.000 0.560 Dy
0.000 0.000 0.083 Y
0.500 0.500 0.820 Th
0.500 0.500 0.322 Mg
```

Values from the calculation:
Magnetic moment in μB per formula unit: 0.0
ΔE_f in meV/atom: -47
E above lowest polymorph in eV/atom: 0.000
Raw total energy in eV/cell: -20.3
Space-group type: P4mm, No. 99
D(E_F) in states/eV/cell: 4.7



DyYThMg: relaxed, PBE.

POSCAR file:
```
DyYThMg
1.0
5.535 0.000 0.000
2.768 4.794 0.000
2.768 1.598 4.520
Y Mg Th Dy
1 1 1 1
direct
0.250 0.250 0.250 Y
0.000 0.000 0.000 Mg
0.750 0.750 0.750 Th
0.500 0.500 0.500 Dy
```

Values from the calculation:
Magnetic moment in μB per formula unit: 0.0
ΔE_f in meV/atom: 104
E above lowest polymorph in eV/atom: 0.151
Raw total energy in eV/cell: -19.7
Space-group type: F-43m, No. 216
D(E_F) in states/eV/cell: 7.5



DyThMgZn: relaxed, PBE.

POSCAR file:
```
DyThMgZn
1.0
5.248 0.000 0.000
2.624 4.544 0.000
2.624 1.515 4.285
Zn Mg Th Dy
1 1 1 1
direct
0.750 0.750 0.750 Zn
0.250 0.250 0.250 Mg
0.000 0.000 0.000 Th
0.500 0.500 0.500 Dy
```

Values from the calculation:
Magnetic moment in μB per formula unit: 0.0
ΔE_f in meV/atom: -84
Raw total energy in eV/cell: -15.2
Space-group type: F-43m, No. 216
D(E_F) in states/eV/cell: 3.8